[1]
Compound: Ag2TeI
Source: Alexandria
Functional: GGA-PBE
Structure: optimized geometry

Values from the calculation:
The calculation puts the uncorrected formation energy at -0.0729 eV/atom. For the energy relative to the lowest polymorph listed for this composition, the calculation gives 56 meV per atom. As for the density: 5819 kg/m³. The calculation puts the total energy at -2.6714 eV per atom.

a = 6.1586 Å, b = 6.1510 Å, c = 7.0842 Å
α = 90.00°, β = 90.14°, γ = 90.00°
With the nearest neighbours (Å) after each atom.
Atoms (fractional coordinates):
Ag (0.2483, 0.0000, 0.2669)  2 Te 2.73, 2 I 2.88
Ag (0.2517, 0.5000, 0.7331)  2 Te 2.73, 2 I 2.88
Ag (0.7483, 0.5000, 0.2669)  2 Te 2.73, 2 I 2.88
Ag (0.7517, 0.0000, 0.7331)  2 Te 2.73, 2 I 2.88
Te (0.0000, 0.2506, 0.5000)  4 Ag 2.73
Te (0.5000, 0.7506, 0.5000)  4 Ag 2.73
I (0.0000, 0.7482, 0.0000)  4 Ag 2.88
I (0.5000, 0.2482, 0.0000)  4 Ag 2.88



[2]
Compound: CePaMnN3
Source: Alexandria
Functional: GGA-PBE
Structure: optimized geometry

Values from the calculation:
The calculation puts the uncorrected formation energy at -1.1879 eV/atom. As for the density: 8926 kg/m³. The calculation puts the total energy at -9.4505 eV per atom.

a = 7.1432 Å, b = 3.3973 Å, c = 7.3043 Å
α = 90.00°, β = 100.72°, γ = 90.00°
With the nearest neighbours (Å) after each atom.
Atoms (fractional coordinates):
Ce (0.1980, 0.2500, 0.1647)  7 N 2.40-2.67
Ce (0.8020, 0.7500, 0.8353)  7 N 2.40-2.67
Pa (0.1853, 0.2500, 0.6577)  5 N 2.27-2.40
Pa (0.8147, 0.7500, 0.3423)  5 N 2.27-2.40
Mn (0.4242, 0.7500, 0.9110)  4 N 1.91-2.03
Mn (0.5758, 0.2500, 0.0890)  4 N 1.91-2.03
N (0.1370, 0.7500, 0.4257)  3 Pa 2.27-2.38
N (0.1439, 0.7500, 0.8780)  1 Mn 1.97
N (0.4658, 0.7500, 0.1768)  3 Mn 1.91-2.03
N (0.5342, 0.2500, 0.8232)  3 Mn 1.91-2.03
N (0.8561, 0.2500, 0.1220)  1 Mn 1.97
N (0.8630, 0.2500, 0.5743)  3 Pa 2.27-2.38



[3]
Compound: Tb6TmSn4
Source: Alexandria
Functional: GGA-PBE
Structure: optimized geometry

Values from the calculation:
As for the density: 7333 kg/m³. The calculation puts the total energy at -4.7058 eV per atom. The value obtained for the energy of formation from the pure elements is -318 meV/atom.

a = 8.1066 Å, b = 8.1066 Å, c = 8.1066 Å
α = 122.45°, β = 122.45°, γ = 85.81°
With the nearest neighbours (Å) after each atom.
Atoms (fractional coordinates):
Tb (0.0000, 0.5000, 0.5000)  4 Sn 3.00
Tb (0.1675, 0.1675, 0.6730)  4 Sn 3.04-3.23
Tb (0.4945, 0.4945, 0.3270)  4 Sn 3.04-3.23
Tb (0.5000, 0.0000, 0.5000)  4 Sn 3.00
Tb (0.5055, 0.8325, 0.0000)  4 Sn 3.04-3.23
Tb (0.8325, 0.5055, 0.0000)  4 Sn 3.04-3.23
Tm (0.0000, 0.0000, 0.0000)  4 Sn 3.24
Sn (0.1782, 0.6284, 0.0000)  6 Tb 3.00-3.23, 1 Tm 3.24
Sn (0.3716, 0.3716, 0.5498)  6 Tb 3.00-3.23, 1 Tm 3.24
Sn (0.6284, 0.1782, 0.0000)  6 Tb 3.00-3.23, 1 Tm 3.24
Sn (0.8218, 0.8218, 0.4502)  6 Tb 3.00-3.23, 1 Tm 3.24



[4]
Compound: RbPd2F6
Source: Alexandria
Functional: GGA-PBE
Structure: optimized geometry

Values from the calculation:
The calculation puts the uncorrected formation energy at -1.5642 eV/atom. For the energy relative to the lowest polymorph listed for this composition, the calculation gives 8 meV per atom. As for the density: 3987 kg/m³. The calculation puts the total energy at -4.0733 eV per atom.

a = 7.8942 Å, b = 7.8942 Å, c = 6.9264 Å
α = 92.39°, β = 92.39°, γ = 52.80°
With the nearest neighbours (Å) after each atom.
Atoms (fractional coordinates):
Rb (0.2444, 0.7556, 0.7500)  8 F 2.90-2.99
Rb (0.7556, 0.2444, 0.2500)  8 F 2.90-2.99
Pd (0.2486, 0.2583, 0.9889)  4 F 1.93-2.03
Pd (0.2583, 0.2486, 0.4889)  4 F 1.93-2.03
Pd (0.7417, 0.7514, 0.5111)  4 F 1.93-2.03
Pd (0.7514, 0.7417, 0.0111)  4 F 1.93-2.03
F (0.1003, 0.1337, 0.9860)  1 Pd 1.93
F (0.1045, 0.4046, 0.7364)  2 Pd 2.02-2.03
F (0.1337, 0.1003, 0.4860)  1 Pd 1.93
F (0.3838, 0.3956, 0.4921)  1 Pd 1.93
F (0.3956, 0.3838, 0.9921)  1 Pd 1.93
F (0.4046, 0.1045, 0.2364)  2 Pd 2.02-2.03
F (0.5954, 0.8955, 0.7636)  2 Pd 2.02-2.03
F (0.6044, 0.6162, 0.0079)  1 Pd 1.93
F (0.6162, 0.6044, 0.5079)  1 Pd 1.93
F (0.8663, 0.8997, 0.5140)  1 Pd 1.93
F (0.8955, 0.5954, 0.2636)  2 Pd 2.02-2.03
F (0.8997, 0.8663, 0.0140)  1 Pd 1.93



| no. | size of the total moment (μB/atom) |
| --- | --- |
| 1 | 0.0000 |
| 2 | 0.0000 |
| 3 | 0.0002 |
| 4 | 0.1187 |